# 1
Material: CsHgICl2
Method: DFT, GGA-PBE
State: optimized geometry

Unit cell a=5.527 b=5.527 c=5.885 alpha=90.00 beta=90.00 gamma=90.00
Space group P4/mmm (No. 123)
Symmetry-distinct sites (fractional):
Cs: 0.000 0.000 0.000 [1 per cell]
Hg: 0.500 0.500 0.500 [1 per cell]
I: 0.500 0.500 0.000 [1 per cell]
Cl: 0.000 0.500 0.500 [2 per cell]

Computed properties:
**Mass density**: 4.908 Mg/m³
**ΔE_f (raw)**: -1000 meV per atom
**Energy relative to the lowest polymorph listed for this composition**: 35.1 kJ/mol of formula units

---

# 2
Material: CsHgICl2
Method: DFT, GGA-PBE
State: optimized geometry

Unit cell a=8.339 b=6.426 c=8.625 alpha=90.00 beta=104.11 gamma=90.00
Space group P2_1/m (No. 11)
Symmetry-distinct sites (fractional):
Cs: 0.241 0.250 0.315 [2 per cell]
Hg: 0.397 0.250 0.845 [2 per cell]
I: 0.063 0.250 0.751 [2 per cell]
Cl: 0.417 0.750 0.346 [2 per cell]
Cl: 0.427 0.750 0.874 [2 per cell]

Computed properties:
**Mass density**: 3.936 Mg/m³
**ΔE_f (raw)**: -1073 meV per atom
**Energy relative to the lowest polymorph listed for this composition**: 0.0 kJ/mol of formula units

---

# 3
Material: Cs2HgI2Cl2
Method: DFT, GGA-PBE
State: optimized geometry

Unit cell a=5.735 b=5.735 c=18.282 alpha=90.00 beta=90.00 gamma=90.00
Space group I4/mmm (No. 139)
Symmetry-distinct sites (fractional):
Cs: 0.000 0.000 0.121 [4 per cell]
Hg: 0.000 0.000 0.500 [2 per cell]
I: 0.000 0.000 0.344 [4 per cell]
Cl: 0.000 0.500 0.000 [4 per cell]

Computed properties:
**Mass density**: 4.370 Mg/m³
**ΔE_f (raw)**: -1227 meV per atom

---

# 4
Material: CsInHgCl2
Method: DFT, GGA-PBE
State: optimized geometry

Unit cell a=5.844 b=5.844 c=5.581 alpha=90.00 beta=90.00 gamma=90.00
Space group P4/mmm (No. 123)
Symmetry-distinct sites (fractional):
Cs: 0.000 0.000 0.000 [1 per cell]
In: 0.500 0.500 0.500 [1 per cell]
Hg: 0.500 0.500 0.000 [1 per cell]
Cl: 0.000 0.500 0.500 [2 per cell]

Computed properties:
**Mass density**: 4.523 Mg/m³
**ΔE_f (raw)**: -1013 meV per atom

---

What is the mass density in the first record? 4.908 Mg/m³

---

Please write out number 3 again, unchanged.
Material: Cs2HgI2Cl2
Method: DFT, GGA-PBE
State: optimized geometry

Unit cell a=5.735 b=5.735 c=18.282 alpha=90.00 beta=90.00 gamma=90.00
Space group I4/mmm (No. 139)
Symmetry-distinct sites (fractional):
Cs: 0.000 0.000 0.121 [4 per cell]
Hg: 0.000 0.000 0.500 [2 per cell]
I: 0.000 0.000 0.344 [4 per cell]
Cl: 0.000 0.500 0.000 [4 per cell]

Computed properties:
**Mass density**: 4.370 Mg/m³
**ΔE_f (raw)**: -1227 meV per atom